(1)
Compound: Pa2BeMo
Source: Alexandria via LeMat-Bulk
Functional: PBE
Structure: relaxed Values from VASP.

Results
The formation energy from the elements comes out at 0.609 eV/atom.

The structure in Quantum ESPRESSO input format:
```
&SYSTEM
  ibrav = 0, nat = 4, ntyp = 3
/
ATOMIC_SPECIES
Pa 231.04 Pa.upf
Be 9.01 Be.upf
Mo 95.94 Mo.upf
CELL_PARAMETERS angstrom
1.522 0.879 9.914
-1.522 0.879 9.914
0.000 -1.757 9.914
ATOMIC_POSITIONS crystal
Pa 0.090 0.090 0.090
Pa 0.910 0.910 0.910
Be 0.500 0.500 0.500
Mo 0.000 0.000 0.000
```


(2)
Compound: Rb2ZrAgHg
Source: Alexandria via LeMat-Bulk
Functional: PBE
Structure: relaxed Values from VASP.

Results
The formation energy from the elements comes out at 0.791 eV/atom.

The structure in Quantum ESPRESSO input format:
```
&SYSTEM
  ibrav = 0, nat = 5, ntyp = 4
/
ATOMIC_SPECIES
Rb 85.47 Rb.upf
Zr 91.22 Zr.upf
Ag 107.87 Ag.upf
Hg 200.59 Hg.upf
CELL_PARAMETERS angstrom
6.612 0.000 0.000
0.000 6.612 0.000
0.000 0.000 5.568
ATOMIC_POSITIONS crystal
Rb 0.000 0.500 0.000
Rb 0.500 0.000 0.000
Zr 0.000 0.000 0.500
Ag 0.500 0.500 0.500
Hg 0.000 0.000 0.000
```


(3)
Compound: TaNb3H6
Source: Alexandria via LeMat-Bulk
Functional: PBE
Structure: relaxed Values from VASP.

Results
The value obtained for the total energy is -127.5 eV for the cell shown.

The structure in Quantum ESPRESSO input format:
```
&SYSTEM
  ibrav = 0, nat = 20, ntyp = 3
/
ATOMIC_SPECIES
Ta 180.95 Ta.upf
Nb 92.91 Nb.upf
H 1.01 H.upf
CELL_PARAMETERS angstrom
3.978 2.297 3.269
-3.978 2.297 3.269
0.000 -4.594 3.269
ATOMIC_POSITIONS crystal
Ta 0.000 0.000 0.000
Ta 0.500 0.500 0.500
Nb 0.005 0.507 0.750
Nb 0.250 0.995 0.493
Nb 0.493 0.250 0.995
Nb 0.507 0.750 0.005
Nb 0.750 0.005 0.507
Nb 0.995 0.493 0.250
H 0.007 0.851 0.306
H 0.149 0.694 0.993
H 0.195 0.353 0.503
H 0.306 0.007 0.851
H 0.353 0.503 0.195
H 0.497 0.805 0.647
H 0.503 0.195 0.353
H 0.647 0.497 0.805
H 0.694 0.993 0.149
H 0.805 0.647 0.497
H 0.851 0.306 0.007
H 0.993 0.149 0.694
```


(4)
Compound: CuRh2Cl
Source: Alexandria via LeMat-Bulk
Functional: PBE
Structure: relaxed Values from VASP.

Results
The energy relative to the elements, uncorrected comes out at 1.26 eV per formula unit. The calculation puts the energy above the lowest structure with this stoichiometry at 0.54 eV/f.u.

The structure in Quantum ESPRESSO input format:
```
&SYSTEM
  ibrav = 0, nat = 4, ntyp = 3
/
ATOMIC_SPECIES
Cu 63.55 Cu.upf
Rh 102.91 Rh.upf
Cl 35.45 Cl.upf
CELL_PARAMETERS angstrom
1.448 0.836 7.940
-1.448 0.836 7.940
0.000 -1.672 7.940
ATOMIC_POSITIONS crystal
Cu 0.000 0.000 0.000
Rh 0.250 0.250 0.250
Rh 0.750 0.750 0.750
Cl 0.500 0.500 0.500
```


(5)
Compound: Rb2HfReSb
Source: Alexandria via LeMat-Bulk
Functional: PBE
Structure: relaxed Values from VASP.

Results
The energy relative to the elements, uncorrected comes out at 8.43 eV per formula unit.

The structure in Quantum ESPRESSO input format:
```
&SYSTEM
  ibrav = 0, nat = 5, ntyp = 4
/
ATOMIC_SPECIES
Rb 85.47 Rb.upf
Hf 178.49 Hf.upf
Re 186.21 Re.upf
Sb 121.76 Sb.upf
CELL_PARAMETERS angstrom
6.895 0.000 0.000
0.000 6.895 0.000
0.000 0.000 5.459
ATOMIC_POSITIONS crystal
Rb 0.000 0.500 0.000
Rb 0.500 0.000 0.000
Hf 0.000 0.000 0.500
Re 0.500 0.500 0.500
Sb 0.000 0.000 0.000
```


(6)
Compound: CdIn2P
Source: Alexandria via LeMat-Bulk
Functional: PBE
Structure: relaxed Values from VASP.

Results
The formation energy from the elements comes out at 0.018 eV/atom. The calculation puts the energy above the lowest structure with this stoichiometry at 0.00 eV/f.u.

The structure in Quantum ESPRESSO input format:
```
&SYSTEM
  ibrav = 0, nat = 4, ntyp = 3
/
ATOMIC_SPECIES
Cd 112.41 Cd.upf
In 114.82 In.upf
P 30.97 P.upf
CELL_PARAMETERS angstrom
3.354 -1.942 0.000
3.354 1.942 0.000
-2.200 0.000 7.545
ATOMIC_POSITIONS crystal
Cd 0.000 0.000 0.000
In 0.234 0.234 0.707
In 0.766 0.766 0.293
P 0.500 0.500 0.500
```


no.,Fermi-level density of states (states/eV/cell),density (g/cm³)
1,4.8,11.8
2,9.2,3.9
3,9.0,8.6
4,4.4,8.8
5,6.5,4.2
6,1.5,6.3